(1)
A PBEsol-optimized structure of Ru5W. Source: the Alexandria database, functional SCAN.

Geometry as CIF:
```
data_Ru5W
_chemical_formula_sum 'Ru5 W1'
_symmetry_space_group_name_H-M 'P -6 2 m'
_symmetry_Int_Tables_number 189
_symmetry_space_group_name_Hall 'P -6 -2'
_cell_length_a 4.7094
_cell_length_b 4.7094
_cell_length_c 4.2741
_cell_angle_alpha 90.00
_cell_angle_beta 90.00
_cell_angle_gamma 120.00
loop_
_atom_site_label
_atom_site_fract_x
_atom_site_fract_y
_atom_site_fract_z
Ru1 0.0000 0.6603 0.0000
Ru2 0.3333 0.6667 0.5000
W1 0.0000 0.0000 0.5000
```



(2)
A PBEsol-optimized structure of As4Ir. Source: the Alexandria database, functional SCAN.

Geometry as CIF:
```
data_As4Ir
_chemical_formula_sum 'As8 Ir2'
_symmetry_space_group_name_H-M 'I 4/m m m'
_symmetry_Int_Tables_number 139
_symmetry_space_group_name_Hall '-I 4 2'
_cell_length_a 5.0549
_cell_length_b 5.0549
_cell_length_c 7.4521
_cell_angle_alpha 90.00
_cell_angle_beta 90.00
_cell_angle_gamma 90.00
loop_
_atom_site_label
_atom_site_fract_x
_atom_site_fract_y
_atom_site_fract_z
As1 0.0000 0.0000 0.1725
As2 0.0000 0.5000 0.2500
Ir1 0.0000 0.0000 0.5000
```



(3)
A PBEsol-optimized structure of Tl2InAu. Source: the Alexandria database, functional SCAN.

Geometry as CIF:
```
data_Tl2InAu
_chemical_formula_sum 'Tl4 In2 Au2'
_symmetry_space_group_name_H-M 'C 1 m 1'
_symmetry_Int_Tables_number 8
_cell_length_a 11.6628
_cell_length_b 3.5146
_cell_length_c 5.4048
_cell_angle_alpha 90.00
_cell_angle_beta 116.76
_cell_angle_gamma 90.00
loop_
_symmetry_equiv_pos_as_xyz
'x,y,z'
'x,-y,z'
'x+1/2,y+1/2,z'
'x+1/2,-y+1/2,z'
loop_
_atom_site_label
_atom_site_fract_x
_atom_site_fract_y
_atom_site_fract_z
Tl1 0.0000 0.0000 0.0000
Tl2 0.2143 0.0000 0.7025
In1 0.2760 0.5000 0.2615
Au1 0.4839 0.0000 0.4942
```



no.,ΔE_f (eV/atom),calculated total energy (eV/f.u.)
1,-0.0368,-244.0
2,0.6652,-148.5
3,-0.0030,-247.3